Record 1
Compound: KAlI2O
Source: Alexandria via LeMat-Bulk
Functional: PBE-GGA
Structure: relaxed

Properties
E_form (uncorrected), meV per atom: -1308
ΔE to the lowest computed polymorph, meV per atom: 0
Calculated density, g cm⁻³: 4.271

```
KAlI2O
1.0
6.0317 0.0000 0.0000
0.0000 6.0317 0.0000
0.0000 0.0000 3.5892
K Al I O
1 1 2 1
direct
0.0000 0.0000 0.0000 K
0.5000 0.5000 0.5000 Al
0.0000 0.5000 0.5000 I
0.5000 0.0000 0.5000 I
0.5000 0.5000 0.0000 O
```

***

Record 2
Compound: KAlI2O
Source: Alexandria via LeMat-Bulk
Functional: PBE-GGA
Structure: relaxed

Properties
E_form (uncorrected), meV per atom: 279
ΔE to the lowest computed polymorph, meV per atom: 1587
Calculated density, g cm⁻³: 2.724

```
KAlI2O
1.0
6.5458 0.0000 0.0000
0.0000 6.5458 0.0000
0.0000 0.0000 4.7790
K Al I O
1 1 2 1
direct
0.0000 0.0000 0.0000 K
0.5000 0.5000 0.5000 Al
0.0000 0.5000 0.0000 I
0.5000 0.0000 0.0000 I
0.0000 0.0000 0.5000 O
```

***

Record 3
Compound: K2RbAlI6
Source: Alexandria via LeMat-Bulk
Functional: PBE-GGA
Structure: relaxed

Properties
E_form (uncorrected), meV per atom: -1024
Calculated density, g cm⁻³: 3.301

```
K2RbAlI6
1.0
0.0000 6.2100 6.2100
6.2100 0.0000 6.2100
6.2100 6.2100 0.0000
K Rb Al I
2 1 1 6
direct
0.2500 0.2500 0.2500 K
0.7500 0.7500 0.7500 K
0.0000 0.0000 0.0000 Rb
0.5000 0.5000 0.5000 Al
0.2770 0.2770 0.7230 I
0.2770 0.7230 0.2770 I
0.2770 0.7230 0.7230 I
0.7230 0.2770 0.2770 I
0.7230 0.2770 0.7230 I
0.7230 0.7230 0.2770 I
```

***

Record 4
Compound: KAlRhI2
Source: Alexandria via LeMat-Bulk
Functional: PBE-GGA
Structure: relaxed

Properties
E_form (uncorrected), meV per atom: 738
Calculated density, g cm⁻³: 3.319

```
KAlRhI2
1.0
5.7309 0.0000 0.0000
0.0000 5.7309 0.0000
0.0000 0.0000 6.4407
K Al Rh I
1 1 1 2
direct
0.0000 0.0000 0.0000 K
0.0000 0.0000 0.5000 Al
0.5000 0.5000 0.0000 Rh
0.0000 0.5000 0.5000 I
0.5000 0.0000 0.5000 I
```

***

Record 5
Compound: K2AlSbI
Source: Alexandria via LeMat-Bulk
Functional: PBE-GGA
Structure: relaxed

Properties
E_form (uncorrected), meV per atom: 279
Calculated density, g cm⁻³: 2.267

```
K2AlSbI
1.0
6.7455 0.0000 0.0000
0.0000 6.7455 0.0000
0.0000 0.0000 5.6966
K Al Sb I
2 1 1 1
direct
0.0000 0.5000 0.0000 K
0.5000 0.0000 0.0000 K
0.0000 0.0000 0.0000 Al
0.5000 0.5000 0.5000 Sb
0.0000 0.0000 0.5000 I
```

***

Record 6
Compound: KTa2AlI
Source: Alexandria via LeMat-Bulk
Functional: PBE-GGA
Structure: relaxed

Properties
E_form (uncorrected), meV per atom: 2807
Calculated density, g cm⁻³: 6.546

```
KTa2AlI
1.0
4.9625 0.0000 0.0000
0.0000 4.9625 0.0000
0.0000 0.0000 5.7160
K Ta Al I
1 2 1 1
direct
0.0000 0.0000 0.0000 K
0.0000 0.5000 0.0000 Ta
0.5000 0.0000 0.0000 Ta
0.5000 0.5000 0.5000 Al
0.0000 0.0000 0.5000 I
```

***

Record 7
Compound: KAl2TlI8
Source: Alexandria via LeMat-Bulk
Functional: PBE-GGA
Structure: relaxed

Properties
E_form (uncorrected), meV per atom: -818
Calculated density, g cm⁻³: 3.860

```
KAl2TlI8
1.0
3.8537 2.2249 10.9758
-3.8537 2.2249 10.9758
0.0000 -4.4498 10.9758
K Al Tl I
1 2 1 8
direct
0.0000 0.0000 0.0000 K
0.2564 0.2564 0.2564 Al
0.7436 0.7436 0.7436 Al
0.5000 0.5000 0.5000 Tl
0.0600 0.4323 0.8138 I
0.1862 0.9400 0.5677 I
0.3338 0.3338 0.3338 I
0.4323 0.8138 0.0600 I
0.5677 0.1862 0.9400 I
0.6662 0.6662 0.6662 I
0.8138 0.0600 0.4323 I
0.9400 0.5677 0.1862 I
```

***

Record 8
Compound: K2AlTlI6
Source: Alexandria via LeMat-Bulk
Functional: PBE-GGA
Structure: relaxed

Properties
E_form (uncorrected), meV per atom: -881
Calculated density, g cm⁻³: 3.954

```
K2AlTlI6
1.0
0.0000 6.0814 6.0814
6.0814 0.0000 6.0814
6.0814 6.0814 0.0000
K Al Tl I
2 1 1 6
direct
0.2500 0.2500 0.2500 K
0.7500 0.7500 0.7500 K
0.0000 0.0000 0.0000 Al
0.5000 0.5000 0.5000 Tl
0.2283 0.2283 0.7717 I
0.2283 0.7717 0.2283 I
0.2283 0.7717 0.7717 I
0.7717 0.2283 0.2283 I
0.7717 0.2283 0.7717 I
0.7717 0.7717 0.2283 I
```

***

Record 9
Compound: LaAl3I
Source: Alexandria via LeMat-Bulk
Functional: PBE-GGA
Structure: relaxed

Properties
E_form (uncorrected), meV per atom: 1032
ΔE to the lowest computed polymorph, meV per atom: 341
Calculated density, g cm⁻³: 2.616

```
LaAl3I
1.0
6.0380 0.0000 0.0000
0.0000 6.0380 0.0000
0.0000 0.0000 6.0380
La Al I
1 3 1
direct
0.0000 0.0000 0.0000 La
0.0000 0.0000 0.5000 Al
0.0000 0.5000 0.0000 Al
0.5000 0.0000 0.0000 Al
0.5000 0.5000 0.5000 I
```

***

Record 10
Compound: LaAlI2
Source: Alexandria via LeMat-Bulk
Functional: PBE-GGA
Structure: relaxed

Properties
E_form (uncorrected), meV per atom: -379
ΔE to the lowest computed polymorph, meV per atom: 77
Calculated density, g cm⁻³: 4.888

```
LaAlI2
1.0
-4.3985 4.3985 3.6849
4.3985 -4.3985 3.6849
4.3985 4.3985 -3.6849
La Al I
2 2 4
direct
0.0000 0.0000 0.0000 La
0.7500 0.2500 0.5000 La
0.2500 0.7500 0.5000 Al
0.5000 0.5000 0.0000 Al
0.1283 0.6250 0.0033 I
0.3750 0.3783 0.5033 I
0.6217 0.1250 0.9967 I
0.8750 0.8717 0.4967 I
```

***

Record 11
Compound: La5AlI5
Source: Alexandria via LeMat-Bulk
Functional: PBE-GGA
Structure: relaxed

Properties
E_form (uncorrected), meV per atom: -1018
Calculated density, g cm⁻³: 5.652

```
La5AlI5
1.0
7.0125 -3.1955 0.0000
7.0125 3.1955 0.0000
-3.0831 0.0000 8.8890
La Al I
5 1 5
direct
0.0000 0.0000 0.0000 La
0.3286 0.3286 0.1356 La
0.3445 0.3445 0.6964 La
0.6555 0.6555 0.3036 La
0.6714 0.6714 0.8644 La
0.5000 0.5000 0.0000 Al
0.1475 0.1475 0.7973 I
0.1663 0.1663 0.3451 I
0.5000 0.5000 0.5000 I
0.8337 0.8337 0.6549 I
0.8525 0.8525 0.2027 I
```

***

Record 12
Compound: La3AlI
Source: Alexandria via LeMat-Bulk
Functional: PBE-GGA
Structure: relaxed

Properties
E_form (uncorrected), meV per atom: -22
ΔE to the lowest computed polymorph, meV per atom: 0
Calculated density, g cm⁻³: 4.728

```
La3AlI
1.0
5.8521 0.0000 0.0000
0.0000 5.8521 0.0000
0.0000 0.0000 5.8521
La Al I
3 1 1
direct
0.0000 0.0000 0.5000 La
0.0000 0.5000 0.0000 La
0.5000 0.0000 0.0000 La
0.0000 0.0000 0.0000 Al
0.5000 0.5000 0.5000 I
```